# GGA-PBE CsTl2In3F12, optimized geometry
# Energy relative to the elements, uncorrected: -235.32 kJ per mole of atoms
data_CsTl2In3F12
_cell_length_a 8.1261
_cell_length_b 8.1261
_cell_length_c 19.6189
_cell_angle_alpha 90.00
_cell_angle_beta 90.00
_cell_angle_gamma 120.00
_space_group_name_H-M_alt 'R -3 m'
_space_group_IT_number 166
_space_group_name_Hall '-R 3 2"'
loop_
_atom_site_label
_atom_site_type_symbol
_atom_site_fract_x
_atom_site_fract_y
_atom_site_fract_z
Cs1 Cs 0.0000 0.0000 0.0000
Tl1 Tl 0.0000 0.0000 0.3559
In1 In 0.0000 0.5000 0.5000
F1 F 0.0623 0.5311 0.3975
F2 F 0.0864 0.5432 0.8128

=====

# GGA-PBE Cs2TlInF4, optimized geometry
# Energy relative to the elements, uncorrected: -205.14 kJ per mole of atoms
data_Cs2TlInF4
_cell_length_a 8.2929
_cell_length_b 8.3119
_cell_length_c 11.7400
_cell_angle_alpha 90.00
_cell_angle_beta 90.00
_cell_angle_gamma 90.00
_space_group_name_H-M_alt 'I m m a'
_space_group_IT_number 74
_space_group_name_Hall '-I 2b 2'
loop_
_atom_site_label
_atom_site_type_symbol
_atom_site_fract_x
_atom_site_fract_y
_atom_site_fract_z
Cs1 Cs 0.0000 0.0000 0.0000
Cs2 Cs 0.2500 0.2500 0.2500
Tl1 Tl 0.0000 0.0000 0.5000
In1 In 0.2500 0.2500 0.7500
F1 F 0.0000 0.0144 0.7446
F2 F 0.2388 0.2500 0.5075

=====

# GGA-PBE CsTlInF6, optimized geometry
# Energy relative to the elements, uncorrected: -225.61 kJ per mole of atoms
data_CsTlInF6
_cell_length_a 6.2110
_cell_length_b 10.7811
_cell_length_c 6.1248
_cell_angle_alpha 90.00
_cell_angle_beta 90.07
_cell_angle_gamma 90.00
_space_group_name_H-M_alt 'C 1 2 1'
_space_group_IT_number 5
_space_group_name_Hall 'C 2y'
loop_
_atom_site_label
_atom_site_type_symbol
_atom_site_fract_x
_atom_site_fract_y
_atom_site_fract_z
Cs1 Cs 0.0000 0.0000 0.0000
Tl1 Tl 0.0000 0.3336 0.5000
In1 In 0.0000 0.6666 0.5000
F1 F 0.1152 0.5176 0.3052
F2 F 0.1652 0.7991 0.3057
F3 F 0.2174 0.1832 0.3062

=====

# GGA-PBE CsTl2InF4, optimized geometry
# Energy relative to the elements, uncorrected: -190.05 kJ per mole of atoms
data_CsTl2InF4
_cell_length_a 8.0954
_cell_length_b 8.3031
_cell_length_c 8.3249
_cell_angle_alpha 117.17
_cell_angle_beta 95.84
_cell_angle_gamma 115.37
_space_group_name_H-M_alt 'P 1'
_space_group_IT_number 1
_space_group_name_Hall 'P 1'
loop_
_atom_site_label
_atom_site_type_symbol
_atom_site_fract_x
_atom_site_fract_y
_atom_site_fract_z
Cs1 Cs 0.0000 0.0000 0.0000
Cs2 Cs 0.4935 0.0032 0.9590
Tl1 Tl 0.0066 0.4478 0.4735
Tl2 Tl 0.4288 0.8985 0.4116
Tl3 Tl 0.9285 0.4431 0.9297
Tl4 Tl 0.9408 0.8963 0.4447
In1 In 0.4173 0.4655 0.9271
In2 In 0.5349 0.4629 0.4953
F1 F 0.1126 0.8230 0.1918
F2 F 0.1914 0.8281 0.5981
F3 F 0.2114 0.5503 0.8137
F4 F 0.2553 0.4952 0.1440
F5 F 0.6457 0.8189 0.1192
F6 F 0.6597 0.8168 0.6607
F7 F 0.7263 0.4941 0.3088
F8 F 0.8220 0.5434 0.6926

=====

# GGA-PBE Cs2TlIn2F6, optimized geometry
# Energy relative to the elements, uncorrected: -208.77 kJ per mole of atoms
data_Cs2TlIn2F6
_cell_length_a 11.4631
_cell_length_b 7.0591
_cell_length_c 8.3584
_cell_angle_alpha 90.00
_cell_angle_beta 121.22
_cell_angle_gamma 90.00
_space_group_name_H-M_alt 'C 1 2/m 1'
_space_group_IT_number 12
_space_group_name_Hall '-C 2y'
loop_
_atom_site_label
_atom_site_type_symbol
_atom_site_fract_x
_atom_site_fract_y
_atom_site_fract_z
Cs1 Cs 0.2069 0.0000 0.1360
Tl1 Tl 0.0000 0.0000 0.5000
In1 In 0.0738 0.5000 0.2096
F1 F 0.0485 0.2726 0.7800
F2 F 0.2351 0.5000 0.4909

=====

# GGA-PBE Cs2TlInF6, optimized geometry
# Energy relative to the elements, uncorrected: -245.87 kJ per mole of atoms
data_Cs2TlInF6
_cell_length_a 9.6200
_cell_length_b 9.6200
_cell_length_c 9.6200
_cell_angle_alpha 90.00
_cell_angle_beta 90.00
_cell_angle_gamma 90.00
_space_group_name_H-M_alt 'F m -3 m'
_space_group_IT_number 225
_space_group_name_Hall '-F 4 2 3'
loop_
_atom_site_label
_atom_site_type_symbol
_atom_site_fract_x
_atom_site_fract_y
_atom_site_fract_z
Cs1 Cs 0.2500 0.2500 0.2500
Tl1 Tl 0.0000 0.0000 0.0000
In1 In 0.0000 0.0000 0.5000
F1 F 0.0000 0.0000 0.2801

=====

# GGA-PBE CsUIn2F8, optimized geometry
# Energy relative to the elements, uncorrected: -273.47 kJ per mole of atoms
data_CsUIn2F8
_cell_length_a 4.9466
_cell_length_b 6.8333
_cell_length_c 8.7620
_cell_angle_alpha 90.09
_cell_angle_beta 90.16
_cell_angle_gamma 93.74
_space_group_name_H-M_alt 'P -1'
_space_group_IT_number 2
_space_group_name_Hall '-P 1'
loop_
_atom_site_label
_atom_site_type_symbol
_atom_site_fract_x
_atom_site_fract_y
_atom_site_fract_z
Cs1 Cs 0.0000 0.0000 0.0000
U1 U 0.0000 0.0000 0.5000
In1 In 0.4999 0.5000 0.2143
F1 F 0.1199 0.8173 0.3219
F2 F 0.1217 0.8181 0.6781
F3 F 0.3607 0.1719 0.5000
F4 F 0.4877 0.2911 0.9996